VASP calculation (PBE-GGA) on an optimized crystal structure of ZrAg.

The energy of formation from the pure elements is 0.05 eV/atom. For the density, the calculation gives 7.8 Mg/m³.

The space group is R-3m (No. 166, hexagonal axes) and the conventional cell measures 3.1852, 3.1852 and 28.7763 Å, with angles of 90.00, 90.00 and 120.00 degrees. Symmetry generates all atoms from Zr at (0.0000, 0.0000, 0.1231) and Ag at (0.0000, 0.0000, 0.3731).